Record 1
Here is a geometry-optimized Cs4K2AlAs2 structure from Alexandria. Energies are from GGA-PBE.

## Properties
Total DFT energy (no corrections) = -2.284 eV/atom
Crystal system = monoclinic
Density of states at the Fermi level = 4.10 states/eV per cell

Unit cell a=5.559 b=11.467 c=11.467 alpha=83.20 beta=68.74 gamma=68.74
Positions (direct):
1 K 0.955 0.376 0.376
2 K 0.045 0.624 0.624
3 Cs 0.151 0.006 0.695
4 Cs 0.849 0.305 0.994
5 Cs 0.151 0.695 0.006
6 Cs 0.849 0.994 0.305
7 As 0.653 0.849 0.849
8 As 0.347 0.151 0.151
9 Al 0.500 0.000 0.000

---

Record 2
Here is a geometry-optimized NiAs4Ir structure from Alexandria. Energies are from GGA-PBE.

## Properties
Crystal system = cubic
Offset from the most stable computed form = 1.193 eV/atom
Density of states at the Fermi level = 6.25 states/eV per cell

Unit cell a=5.318 b=5.318 c=5.318 alpha=60.00 beta=60.00 gamma=60.00
Positions (direct):
1 As 0.375 0.876 0.375
2 As 0.375 0.375 0.375
3 As 0.876 0.375 0.375
4 As 0.375 0.375 0.876
5 Ir 0.750 0.750 0.750
6 Ni 0.000 0.000 0.000

---

Record 3
Here is a geometry-optimized RuSeBr2 structure from Alexandria. Energies are from GGA-PBE.

## Properties
Raw formation energy = 3.0 eV/f.u.
Crystal system = orthorhombic
Offset from the most stable computed form = 0.948 eV/atom
Density of states at the Fermi level = 3.53 states/eV per cell

Unit cell a=5.010 b=4.991 c=4.993 alpha=80.14 beta=65.61 gamma=114.38
Last column: magnetic moment on the atom in μB.
Positions (direct):
1 Br 0.000 0.500 0.500  0.06
2 Br 0.000 0.000 0.000  0.06
3 Se 0.500 0.000 0.500  0.02
4 Ru 0.500 0.500 0.000  2.02

---

Record 4
Here is a geometry-optimized PmAgH7Rh2 structure from Alexandria. Energies are from GGA-PBE.

## Properties
Total DFT energy (no corrections) = -4.404 eV/atom
Crystal system = tetragonal
Density of states at the Fermi level = 3.67 states/eV per cell

Unit cell a=3.744 b=3.744 c=8.284 alpha=103.06 beta=103.06 gamma=90.00
Positions (direct):
1 H 0.609 0.109 0.218
2 H 0.110 0.610 0.220
3 H 0.784 0.784 0.567
4 H 0.216 0.216 0.433
5 H 0.891 0.391 0.782
6 H 0.390 0.890 0.780
7 H 0.000 0.000 0.000
8 Ag 0.250 0.750 0.500
9 Pm 0.500 0.500 0.000
10 Rh 0.892 0.892 0.784
11 Rh 0.108 0.108 0.216

---

Record 5
Here is a geometry-optimized Al2TcMo structure from Alexandria. Energies are from GGA-PBE.

## Properties
Crystal system = tetragonal
Offset from the most stable computed form = 0.000 eV/atom
Density of states at the Fermi level = 1.69 states/eV per cell

Unit cell a=3.147 b=3.147 c=5.983 alpha=90.00 beta=90.00 gamma=90.00
Positions (direct):
1 Tc 0.500 0.500 0.754
2 Al 0.500 0.500 0.251
3 Al 0.000 0.000 0.991
4 Mo 0.000 0.000 0.504

---

Record 6
Here is a geometry-optimized BaW2BrCl structure from Alexandria. Energies are from GGA-PBE.

## Properties
Raw formation energy = 4.7 eV/f.u.
Crystal system = tetragonal
Density of states at the Fermi level = 2.60 states/eV per cell

Unit cell a=4.448 b=7.040 c=4.448 alpha=90.00 beta=90.00 gamma=90.00
Positions (direct):
1 W 0.500 0.000 0.000
2 W 0.000 0.000 0.500
3 Br 0.500 0.500 0.500
4 Cl 0.000 0.000 0.000
5 Ba 0.000 0.500 0.000

---

Record 7
Here is a geometry-optimized TbTl2Ga structure from Alexandria. Energies are from GGA-PBE.

## Properties
Crystal system = tetragonal
Offset from the most stable computed form = 0.000 eV/atom
Density of states at the Fermi level = 1.51 states/eV per cell

Unit cell a=4.695 b=4.597 c=4.597 alpha=90.00 beta=90.00 gamma=90.00
Positions (direct):
1 Tl 0.000 0.500 0.000
2 Tl 0.000 0.000 0.500
3 Tb 0.500 0.500 0.500
4 Ga 0.500 0.000 0.000

---

Record 8
Here is a geometry-optimized ScInMo2 structure from Alexandria. Energies are from GGA-PBE.

## Properties
Total DFT energy (no corrections) = -7.543 eV/atom
Crystal system = trigonal
Density of states at the Fermi level = 2.33 states/eV per cell

Unit cell a=9.247 b=9.247 c=9.247 alpha=19.47 beta=19.47 gamma=19.47
Positions (direct):
1 Mo 0.256 0.256 0.256
2 Mo 0.990 0.990 0.990
3 In 0.746 0.746 0.746
4 Sc 0.508 0.508 0.508

---

Record 9
Here is a geometry-optimized Cd2In2AgAu7 structure from Alexandria. Energies are from GGA-PBE.

## Properties
Total DFT energy (no corrections) = -2.819 eV/atom
Crystal system = monoclinic
Density of states at the Fermi level = 3.41 states/eV per cell

Unit cell a=4.034 b=4.034 c=16.325 alpha=84.27 beta=84.27 gamma=90.34
Positions (direct):
1 Au 0.557 0.057 0.863
2 Au 0.399 0.399 0.427
3 Au 0.943 0.443 0.137
4 Au 0.500 0.500 0.000
5 Au 0.601 0.601 0.573
6 Au 0.443 0.943 0.137
7 Au 0.057 0.557 0.863
8 In 0.393 0.393 0.262
9 In 0.607 0.607 0.738
10 Cd 0.905 0.905 0.410
11 Cd 0.095 0.095 0.590
12 Ag 0.000 0.000 0.000

---

Record 10
Here is a geometry-optimized Nd2CdIrC structure from Alexandria. Energies are from GGA-PBE.

## Properties
Total DFT energy (no corrections) = -6.120 eV/atom
Crystal system = tetragonal
Density of states at the Fermi level = 2.72 states/eV per cell

Unit cell a=3.896 b=5.331 c=5.331 alpha=90.00 beta=90.00 gamma=90.00
Positions (direct):
1 Nd 0.000 0.000 0.500
2 Nd 0.000 0.500 0.000
3 Ir 0.500 0.000 0.000
4 C 0.000 0.000 0.000
5 Cd 0.500 0.500 0.500

---

Record 11
Here is a geometry-optimized Sc2SbAs structure from Alexandria. Energies are from GGA-PBE.

## Properties
Raw formation energy = -3.0 eV/f.u.
Crystal system = orthorhombic
Density of states at the Fermi level = 3.38 states/eV per cell

Unit cell a=4.836 b=4.836 c=3.715 alpha=90.00 beta=90.00 gamma=79.84
Positions (direct):
1 Sc 0.500 0.500 0.000
2 Sc 0.000 0.000 0.000
3 As 0.500 0.000 0.500
4 Sb 0.000 0.500 0.500

---

Record 12
Here is a geometry-optimized Ba2PRu structure from Alexandria. Energies are from GGA-PBE.

## Properties
Total DFT energy (no corrections) = -4.296 eV/atom
Crystal system = tetragonal
Density of states at the Fermi level = 4.14 states/eV per cell

Unit cell a=5.548 b=5.548 c=5.548 alpha=127.37 beta=127.37 gamma=77.65
Last column: magnetic moment on the atom in μB.
Positions (direct):
1 P 0.500 0.500 0.000  0.03
2 Ba 0.000 0.000 0.000  0.00
3 Ba 0.250 0.750 0.500  -0.03
4 Ru 0.750 0.250 0.500  0.91

---

Record 13
Here is a geometry-optimized KNa2SiF structure from Alexandria. Energies are from GGA-PBE.

## Properties
Raw formation energy = -1.1 eV/f.u.
Crystal system = tetragonal
Offset from the most stable computed form = 0.562 eV/atom
Density of states at the Fermi level = 2.61 states/eV per cell

Unit cell a=6.087 b=4.391 c=6.087 alpha=90.00 beta=90.00 gamma=90.00
Last column: magnetic moment on the atom in μB.
Positions (direct):
1 K 0.000 0.000 0.000  0.00
2 F 0.000 0.500 0.000  0.02
3 Na 0.500 0.000 0.000  0.00
4 Na 0.000 0.000 0.500  -0.01
5 Si 0.500 0.500 0.500  0.29

---

Record 14
Here is a geometry-optimized Nd4ErGa5 structure from Alexandria. Energies are from GGA-PBE.

## Properties
Total DFT energy (no corrections) = -4.439 eV/atom
Crystal system = tetragonal
Density of states at the Fermi level = 4.18 states/eV per cell

Unit cell a=3.657 b=3.657 c=18.401 alpha=90.00 beta=90.00 gamma=90.00
Positions (direct):
1 Nd 0.000 0.000 0.398
2 Nd 0.000 0.000 0.806
3 Nd 0.000 0.000 0.194
4 Nd 0.000 0.000 0.602
5 Ga 0.500 0.500 0.704
6 Ga 0.500 0.500 0.089
7 Ga 0.500 0.500 0.296
8 Ga 0.500 0.500 0.911
9 Ga 0.500 0.500 0.500
10 Er 0.000 0.000 0.000

---

Record 15
Here is a geometry-optimized CrFe2Ag structure from Alexandria. Energies are from GGA-PBE.

## Properties
Crystal system = tetragonal
Offset from the most stable computed form = 0.418 eV/atom
Density of states at the Fermi level = 7.72 states/eV per cell

Unit cell a=6.637 b=6.637 c=5.365 alpha=51.79 beta=51.79 gamma=90.00
Last column: magnetic moment on the atom in μB.
Positions (direct):
1 Fe 0.375 0.415 0.750  1.96
2 Fe 0.585 0.125 0.250  1.94
3 Fe 0.165 0.625 0.250  1.95
4 Fe 0.875 0.835 0.750  1.97
5 Ag 0.000 0.000 0.000  -0.04
6 Ag 0.750 0.250 0.500  -0.04
7 Cr 0.250 0.750 0.500  -2.25
8 Cr 0.500 0.500 0.000  -2.25

---

Record 16
Here is a geometry-optimized CdBRh3 structure from Alexandria. Energies are from GGA-PBE.

## Properties
Crystal system = monoclinic
Offset from the most stable computed form = 0.179 eV/atom
Density of states at the Fermi level = 16.12 states/eV per cell

Unit cell a=11.240 b=7.756 c=7.756 alpha=93.63 beta=131.48 gamma=48.52
Positions (direct):
1 B 0.579 0.150 0.079
2 B 0.921 0.579 0.650
3 B 0.079 0.421 0.350
4 B 0.421 0.850 0.921
5 Rh 0.008 0.320 0.514
6 Rh 0.215 0.197 0.218
7 Rh 0.492 0.014 0.820
8 Rh 0.285 0.718 0.697
9 Rh 0.715 0.282 0.303
10 Rh 0.727 0.537 0.579
11 Rh 0.508 0.986 0.180
12 Rh 0.785 0.803 0.782
13 Rh 0.227 0.921 0.963
14 Rh 0.992 0.680 0.486
15 Rh 0.773 0.079 0.037
16 Rh 0.273 0.463 0.421
17 Cd 0.750 0.170 0.670
18 Cd 0.250 0.534 0.034
19 Cd 0.750 0.466 0.966
20 Cd 0.250 0.830 0.330

---

Record 17
Here is a geometry-optimized CsErMnTe3 structure from Alexandria. Energies are from GGA-PBE.

## Properties
Raw formation energy = -5.9 eV/f.u.
Crystal system = monoclinic
Density of states at the Fermi level = 0.68 states/eV per cell

Unit cell a=4.496 b=10.281 c=10.956 alpha=112.24 beta=90.00 gamma=90.00
Last column: magnetic moment on the atom in μB.
Positions (direct):
1 Mn 0.750 0.916 0.391  -4.18
2 Mn 0.250 0.084 0.609  -4.18
3 Cs 0.750 0.784 0.755  0.00
4 Cs 0.250 0.216 0.245  0.00
5 Te 0.250 0.795 0.454  -0.08
6 Te 0.750 0.877 0.136  -0.04
7 Te 0.250 0.525 0.840  -0.02
8 Te 0.750 0.205 0.546  -0.08
9 Te 0.250 0.123 0.864  -0.04
10 Te 0.750 0.475 0.160  -0.02
11 Er 0.750 0.332 0.863  -0.05
12 Er 0.250 0.668 0.137  -0.05

---

Record 18
Here is a geometry-optimized VNiI3 structure from Alexandria. Energies are from GGA-PBE.

## Properties
Raw formation energy = 2.7 eV/f.u.
Crystal system = cubic
Density of states at the Fermi level = 9.35 states/eV per cell

Unit cell a=5.282 b=5.282 c=5.282 alpha=90.00 beta=90.00 gamma=90.00
Last column: magnetic moment on the atom in μB.
Positions (direct):
1 Ni 0.000 0.000 0.000  -0.14
2 I 0.000 0.500 0.000  -0.06
3 I 0.500 0.000 0.000  -0.06
4 I 0.000 0.000 0.500  -0.06
5 V 0.500 0.500 0.500  3.10

---

Record 19
Here is a geometry-optimized YEr3Zn4 structure from Alexandria. Energies are from GGA-PBE.

## Properties
Total DFT energy (no corrections) = -3.508 eV/atom
Crystal system = tetragonal
Density of states at the Fermi level = 16.81 states/eV per cell

Unit cell a=5.008 b=7.127 c=10.016 alpha=90.00 beta=90.00 gamma=90.00
Positions (direct):
1 Er 0.500 0.500 0.750
2 Er 0.500 0.000 0.750
3 Er 0.000 0.000 0.000
4 Er 0.500 0.000 0.250
5 Er 0.500 0.500 0.250
6 Er 0.000 0.000 0.500
7 Zn 0.500 0.753 0.000
8 Zn 0.500 0.247 0.500
9 Zn 0.999 0.753 0.750
10 Zn 0.500 0.753 0.500
11 Zn 0.001 0.247 0.250
12 Zn 0.999 0.247 0.750
13 Zn 0.500 0.247 0.000
14 Zn 0.001 0.753 0.250
15 Y 0.000 0.500 0.000
16 Y 0.000 0.500 0.500

---

Record 20
Here is a geometry-optimized Dy3CdHg5 structure from Alexandria. Energies are from GGA-PBE.

## Properties
Total DFT energy (no corrections) = -2.213 eV/atom
Crystal system = hexagonal
Density of states at the Fermi level = 11.29 states/eV per cell

Unit cell a=6.276 b=8.987 c=8.986 alpha=120.00 beta=90.00 gamma=90.00
Positions (direct):
1 Hg 0.750 0.317 0.000
2 Hg 0.250 0.317 0.317
3 Hg 0.250 0.683 0.000
4 Hg 0.500 0.333 0.667
5 Hg 0.750 0.000 0.317
6 Hg 0.000 0.333 0.667
7 Hg 0.750 0.683 0.683
8 Hg 0.250 0.000 0.683
9 Hg 0.500 0.667 0.333
10 Hg 0.000 0.667 0.333
11 Dy 0.250 0.348 0.000
12 Dy 0.750 0.652 0.000
13 Dy 0.250 0.000 0.348
14 Dy 0.750 0.000 0.652
15 Dy 0.750 0.348 0.348
16 Dy 0.250 0.652 0.652
17 Cd 0.000 0.000 0.000
18 Cd 0.500 0.000 0.000

---

Record 21
Here is a geometry-optimized La6TlIr4 structure from Alexandria. Energies are from GGA-PBE.

## Properties
Total DFT energy (no corrections) = -6.753 eV/atom
Crystal system = orthorhombic
Density of states at the Fermi level = 11.52 states/eV per cell

Unit cell a=4.220 b=7.369 c=21.566 alpha=90.00 beta=90.00 gamma=106.64
Positions (direct):
1 La 0.500 0.000 0.500
2 La 0.965 0.929 0.849
3 La 0.234 0.467 0.583
4 La 0.660 0.320 0.750
5 La 0.766 0.533 0.417
6 La 0.965 0.929 0.651
7 La 0.234 0.467 0.917
8 La 0.766 0.533 0.083
9 La 0.340 0.680 0.250
10 La 0.035 0.071 0.151
11 La 0.035 0.071 0.349
12 La 0.500 0.000 0.000
13 Ir 0.136 0.273 0.458
14 Ir 0.600 0.199 0.872
15 Ir 0.864 0.727 0.958
16 Ir 0.400 0.801 0.372
17 Ir 0.400 0.801 0.128
18 Ir 0.864 0.727 0.542
19 Ir 0.136 0.273 0.042
20 Ir 0.600 0.199 0.628
21 Tl 0.656 0.312 0.250
22 Tl 0.344 0.688 0.750

---

Record 22
Here is a geometry-optimized TcMo2W structure from Alexandria. Energies are from GGA-PBE.

## Properties
Crystal system = trigonal
Offset from the most stable computed form = 0.267 eV/atom
Density of states at the Fermi level = 2.44 states/eV per cell

Unit cell a=9.544 b=9.544 c=9.544 alpha=16.78 beta=16.78 gamma=16.78
Positions (direct):
1 Tc 0.750 0.750 0.750
2 Mo 0.496 0.496 0.496
3 Mo 0.004 0.004 0.004
4 W 0.250 0.250 0.250

---

Record 23
Here is a geometry-optimized Cu2AgS6 structure from Alexandria. Energies are from GGA-PBE.

## Properties
Raw formation energy = 0.6 eV/f.u.
Crystal system = trigonal
Density of states at the Fermi level = 4.21 states/eV per cell

Unit cell a=4.529 b=6.630 c=6.630 alpha=120.00 beta=90.02 gamma=90.02
Positions (direct):
1 S 0.808 0.581 0.000
2 S 0.807 0.419 0.419
3 S 0.192 0.000 0.419
4 S 0.808 0.000 0.581
5 S 0.192 0.419 0.000
6 S 0.193 0.581 0.581
7 Cu 0.500 0.333 0.667
8 Cu 0.500 0.667 0.333
9 Ag 0.000 0.000 0.000

---

Record 24
Here is a geometry-optimized Eu2CdIn structure from Alexandria. Energies are from GGA-PBE.

## Properties
Total DFT energy (no corrections) = -6.467 eV/atom
Crystal system = tetragonal
Density of states at the Fermi level = 15.92 states/eV per cell

Unit cell a=3.917 b=5.606 c=5.606 alpha=90.00 beta=90.00 gamma=90.00
Last column: magnetic moment on the atom in μB.
Positions (direct):
1 Cd 0.500 0.000 0.000  0.00
2 In 0.500 0.500 0.500  -0.01
3 Eu 0.000 0.000 0.500  6.85
4 Eu 0.000 0.500 0.000  6.85